#1
! PBE+U Tm2WO6, optimized geometry; values from VASP
&SYSTEM
  ibrav = 0, nat = 18, ntyp = 3
/
ATOMIC_SPECIES
Tm 168.93 Tm.upf
W 183.84 W.upf
O 16.00 O.upf
CELL_PARAMETERS angstrom
-5.127 1.056 1.665
0.017 -4.550 2.935
3.207 4.524 6.994
ATOMIC_POSITIONS angstrom
Tm -2.551 2.402 8.728
Tm -0.303 -0.854 8.661
Tm -1.600 1.884 2.933
Tm 0.648 -1.372 2.866
W -2.555 -1.747 2.300
W 1.604 2.262 3.497
O -3.268 -1.165 6.145
O -2.256 0.267 8.351
O -0.912 2.297 10.319
O -1.953 2.194 5.172
O -0.605 3.157 7.828
O -2.800 0.058 3.045
O 1.365 2.195 5.449
O 0.354 0.763 3.243
O -0.991 -1.267 1.275
O 0.050 -1.164 6.423
O -1.298 -2.127 3.766
O 0.898 0.972 8.550
! space-group type	Pnnm (58)
! density	7.728	g cm⁻³
! crystal system	orthorhombic

#2
! PBE+U Tm2WO6, optimized geometry; values from VASP
&SYSTEM
  ibrav = 0, nat = 36, ntyp = 3
/
ATOMIC_SPECIES
Tm 168.93 Tm.upf
W 183.84 W.upf
O 16.00 O.upf
CELL_PARAMETERS angstrom
-0.714 6.879 -6.681
-6.502 -2.462 -6.642
-4.339 2.696 1.577
ATOMIC_POSITIONS angstrom
Tm -6.996 5.725 -10.432
Tm -10.449 5.002 -9.634
Tm -5.399 1.743 -6.263
Tm -2.415 6.557 -6.283
Tm -9.140 0.554 -5.463
Tm -6.156 5.369 -5.484
Tm -1.106 2.110 -2.112
Tm -4.559 1.387 -1.315
W -4.192 4.638 -8.636
W -8.221 2.985 -7.835
W -3.334 4.126 -3.911
W -7.363 2.474 -3.110
O -6.998 4.084 -11.991
O -8.986 5.725 -11.203
O -7.842 2.011 -9.533
O -5.685 4.025 -9.590
O -7.496 7.418 -8.761
O -8.340 4.590 -8.798
O -4.851 5.765 -7.282
O -9.519 3.083 -6.477
O -4.051 3.039 -7.671
O -7.639 1.208 -7.106
O -6.722 3.577 -6.879
O -6.678 7.608 -6.338
O -4.877 -0.496 -5.408
O -4.833 3.535 -4.868
O -3.916 5.904 -4.641
O -7.504 4.073 -4.076
O -2.037 4.029 -5.270
O -6.704 1.347 -4.464
O -3.215 2.522 -2.949
O -4.059 -0.306 -2.985
O -5.870 3.087 -2.157
O -3.713 5.101 -2.213
O -2.569 1.387 -0.543
O -4.557 3.028 0.244
! space-group type	C2/c (15)
! density	9.172	g cm⁻³
! crystal system	monoclinic

#3
! PBE+U Tm2WO6, optimized geometry; values from VASP
&SYSTEM
  ibrav = 0, nat = 36, ntyp = 3
/
ATOMIC_SPECIES
Tm 168.93 Tm.upf
W 183.84 W.upf
O 16.00 O.upf
CELL_PARAMETERS angstrom
-2.701 2.472 -3.710
-0.142 -7.589 -4.953
-8.452 -2.689 4.362
ATOMIC_POSITIONS angstrom
Tm -0.384 -3.065 -1.865
Tm -5.465 -3.719 1.192
Tm -2.424 -4.668 -4.698
Tm -5.915 -4.817 -2.462
Tm -9.565 -2.113 1.792
Tm -4.637 -1.319 -1.474
Tm -10.066 -5.904 -3.620
Tm -6.727 -5.616 -6.066
W -1.389 -0.353 0.508
W -6.909 -8.164 -3.803
W -8.683 -4.713 -0.748
W -5.611 -2.381 -4.557
O -4.305 -6.023 -1.572
O -2.219 -4.239 -2.498
O -6.357 -7.939 -1.953
O -2.885 -6.735 -3.812
O -4.337 -3.478 -0.894
O -4.955 -1.396 0.811
O -0.820 -6.319 -5.409
O -8.667 -6.536 0.028
O -7.309 -2.386 1.495
O -2.426 -0.732 -1.092
O -6.831 -4.518 -0.409
O -9.324 -4.191 1.029
O -6.223 -6.344 -4.052
O -8.748 -7.727 -3.730
O -4.612 -4.024 -4.277
O -8.182 -5.139 -2.554
O -6.816 -0.598 -0.832
O -6.296 -2.592 -2.671
O -10.520 -5.304 -1.332
O -2.770 -4.998 -6.902
O -4.214 -1.351 -3.730
O -9.196 -2.915 -1.278
O -4.793 0.873 -1.964
O -2.738 0.947 -4.005
! space-group type	P2_12_12_1 (19)
! density	8.787	g cm⁻³
! crystal system	orthorhombic

Which one is most stable, and which one is least stable? #3 is the most stable of them, while #1 is the least stable.

#1
! PBE+U Tm2WO6, optimized geometry; values from VASP
&SYSTEM
  ibrav = 0, nat = 18, ntyp = 3
/
ATOMIC_SPECIES
Tm 168.93 Tm.upf
W 183.84 W.upf
O 16.00 O.upf
CELL_PARAMETERS angstrom
-1.649 -4.601 0.828
-0.202 -0.807 -4.887
9.301 -3.304 0.162
ATOMIC_POSITIONS angstrom
Tm 2.172 -3.805 -1.975
Tm 5.278 -4.908 -1.921
Tm 1.553 -0.552 0.027
Tm 7.748 -2.753 0.135
W -0.925 -2.704 -2.029
W 4.650 -1.652 0.081
O 0.108 -4.199 -2.760
O 6.654 -6.525 -2.646
O 3.319 -5.544 -2.840
O -1.331 -3.768 -0.427
O 1.893 -5.059 -0.177
O 4.648 -6.037 -0.129
O 2.802 -2.676 -3.767
O 5.557 -3.654 -3.719
O -0.519 -1.640 -3.632
O 4.131 -3.169 -1.057
O 0.796 -2.188 -1.251
O 7.342 -4.514 -1.137
! space-group type	P4_2/mnm (136)
! density	8.456	g cm⁻³
! crystal system	tetragonal

#2
! PBE+U Tm2WO6, optimized geometry; values from VASP
&SYSTEM
  ibrav = 0, nat = 36, ntyp = 3
/
ATOMIC_SPECIES
Tm 168.93 Tm.upf
W 183.84 W.upf
O 16.00 O.upf
CELL_PARAMETERS angstrom
-5.176 -0.839 0.976
1.800 -5.931 4.450
1.237 4.435 10.373
ATOMIC_POSITIONS angstrom
Tm -2.906 2.705 8.503
Tm -1.034 0.891 2.847
Tm 1.200 -2.295 9.714
Tm -2.706 -5.046 5.147
Tm -1.716 -0.213 10.673
Tm -0.424 -2.121 5.126
Tm 0.566 2.712 10.652
Tm -3.340 -0.039 6.085
W 1.070 -0.580 12.652
W -2.071 -3.206 7.941
W -0.069 0.872 7.858
W -3.210 -1.754 3.147
O 2.577 -1.645 13.521
O -0.114 -1.346 13.948
O -2.769 -4.629 9.225
O -0.053 -1.871 11.502
O -0.331 -3.499 8.685
O -2.829 -1.618 12.109
O -1.093 -4.157 6.394
O -2.573 -2.027 9.351
O 0.099 0.726 11.699
O 1.498 -3.034 5.990
O -0.190 -0.610 9.017
O -2.558 1.326 12.315
O 0.418 -3.660 3.484
O -1.950 -1.724 6.782
O -3.638 0.700 9.809
O -2.239 -3.060 4.100
O 0.433 -0.307 6.448
O -1.047 1.822 9.405
O 0.689 -0.716 3.690
O -1.809 1.164 7.114
O -2.087 -0.464 4.298
O 0.629 2.294 6.574
O -2.026 -0.988 1.851
O -4.716 -0.689 2.279
! space-group type	P2/c (13)
! density	9.187	g cm⁻³
! crystal system	monoclinic

Which one is most stable, and which one is least stable? #2 is the most stable of them, while #1 is the least stable.

#1
! PBE+U TmWO5, optimized geometry; values from VASP
&SYSTEM
  ibrav = 0, nat = 28, ntyp = 3
/
ATOMIC_SPECIES
Tm 168.93 Tm.upf
W 183.84 W.upf
O 16.00 O.upf
CELL_PARAMETERS angstrom
-5.005 -4.866 10.524
-0.019 -4.782 -2.220
5.614 -3.925 0.855
ATOMIC_POSITIONS angstrom
Tm -1.583 -6.622 4.605
Tm 2.173 -6.951 4.554
Tm 1.312 -3.097 0.035
Tm -0.722 -10.476 9.124
W -3.455 -9.024 7.252
W 4.044 -4.549 1.907
W 0.113 -3.679 3.843
W 0.476 -9.894 5.316
O -2.084 -8.631 8.902
O 2.673 -4.942 0.257
O -1.797 -4.597 3.326
O 2.387 -8.976 5.832
O -1.291 -7.433 2.452
O 1.880 -6.140 6.707
O -2.719 -5.920 10.049
O 3.309 -7.652 -0.890
O -4.481 -7.906 8.340
O 5.071 -5.667 0.818
O 0.440 -5.478 4.226
O 0.150 -8.095 4.933
O -2.457 -8.121 6.060
O 3.047 -5.451 3.099
O 0.492 -3.244 2.141
O 0.097 -10.329 7.018
O -0.247 -4.739 -0.160
O 0.837 -8.834 9.318
O -0.887 -5.818 6.614
O 1.477 -7.755 2.545
! space-group type	P2_1/c (14)
! density	7.047	g cm⁻³
! crystal system	monoclinic

#2
! PBE+U TmWO5, optimized geometry; values from VASP
&SYSTEM
  ibrav = 0, nat = 7, ntyp = 3
/
ATOMIC_SPECIES
Tm 168.93 Tm.upf
W 183.84 W.upf
O 16.00 O.upf
CELL_PARAMETERS angstrom
3.603 0.000 1.320
1.466 5.152 1.575
-0.002 0.129 5.581
ATOMIC_POSITIONS angstrom
Tm 2.534 2.640 4.238
W 0.000 0.000 0.000
O 3.103 1.235 2.684
O 0.434 1.620 4.392
O 1.802 0.000 0.660
O 1.030 3.660 2.764
O 1.964 4.046 5.792
! space-group type	Immm (71)
! density	6.968	g cm⁻³
! crystal system	orthorhombic

Which one is most stable, and which one is least stable? #1 is the most stable of them, while #2 is the least stable.